Entry 1:
PPtS2N: optimized geometry, GGA-PBE.

ΔE to the lowest computed polymorph ... 0.476 eV per atom
Total energy ... -4.4510 eV per atom

Cell: 4.162 4.162 3.961 Å, 90.00 90.00 90.00°
Space group P4/mmm (No. 123)
Symmetry-distinct sites (fractional):
P1 0.000 0.000 0.000
Pt1 0.500 0.500 0.000
S1 0.000 0.500 0.500
N1 0.000 0.000 0.500


Entry 2:
Sc2PPtN: optimized geometry, GGA-PBE.

Total energy ... -7.3657 eV per atom

Cell: 4.394 4.394 4.061 Å, 90.00 90.00 90.00°
Space group P4/mmm (No. 123)
Symmetry-distinct sites (fractional):
Sc1 0.000 0.500 0.000
P1 0.000 0.000 0.500
Pt1 0.500 0.500 0.500
N1 0.500 0.500 0.000


Entry 3:
PPtSe2N: optimized geometry, GGA-PBE.

ΔE to the lowest computed polymorph ... 0.299 eV per atom
Total energy ... -4.4570 eV per atom

Cell: 5.156 5.156 3.674 Å, 90.00 90.00 90.00°
Space group P4/mmm (No. 123)
Symmetry-distinct sites (fractional):
P1 0.000 0.000 0.000
Pt1 0.500 0.500 0.500
Se1 0.000 0.500 0.500
N1 0.500 0.500 0.000


Entry 4:
PPtSe2N: optimized geometry, GGA-PBE.

ΔE to the lowest computed polymorph ... 0.000 eV per atom
Total energy ... -4.7564 eV per atom

Cell: 4.993 4.993 3.167 Å, 90.00 90.00 90.00°
Space group P4/mmm (No. 123)
Symmetry-distinct sites (fractional):
P1 0.000 0.000 0.000
Pt1 0.500 0.500 0.500
Se1 0.000 0.500 0.000
N1 0.000 0.000 0.500


Entry 5:
Sr6P2PtN: optimized geometry, GGA-PBE.

Total energy ... -4.3333 eV per atom

Cell: 7.192 7.848 12.596 Å, 90.00 123.99 90.00°
Space group P2_1/c (No. 14)
Symmetry-distinct sites (fractional):
Sr1 0.095 0.054 0.231
Sr2 0.234 0.706 0.068
Sr3 0.363 0.172 0.067
P1 0.287 0.091 0.751
Pt1 0.500 0.000 0.500
N1 0.000 0.000 0.000


Entry 6:
SrPPt2N: optimized geometry, GGA-PBE.

Total energy ... -2.9773 eV per atom

Cell: 5.551 5.551 5.925 Å, 90.00 90.00 90.00°
Space group P4/mmm (No. 123)
Symmetry-distinct sites (fractional):
Sr1 0.000 0.000 0.000
P1 0.000 0.000 0.500
Pt1 0.000 0.500 0.000
N1 0.500 0.500 0.500


Entry 7:
TePPt2N: optimized geometry, GGA-PBE.

Total energy ... -3.7669 eV per atom

Cell: 5.005 5.005 5.214 Å, 90.00 90.00 90.00°
Space group P4/mmm (No. 123)
Symmetry-distinct sites (fractional):
Te1 0.000 0.000 0.000
P1 0.000 0.000 0.500
Pt1 0.000 0.500 0.000
N1 0.500 0.500 0.500


Entry 8:
Tl2PPtN: optimized geometry, GGA-PBE.

Total energy ... -4.3026 eV per atom

Cell: 5.512 5.512 3.371 Å, 90.00 90.00 90.00°
Space group P4/mmm (No. 123)
Symmetry-distinct sites (fractional):
Tl1 0.000 0.500 0.000
P1 0.000 0.000 0.500
Pt1 0.500 0.500 0.500
N1 0.000 0.000 0.000


Entry 9:
V2PPtN: optimized geometry, GGA-PBE.

Total energy ... -6.3551 eV per atom

Cell: 4.369 4.369 4.303 Å, 90.00 90.00 90.00°
Space group P4/mmm (No. 123)
Symmetry-distinct sites (fractional):
V1 0.000 0.500 0.000
P1 0.000 0.000 0.000
Pt1 0.000 0.000 0.500
N1 0.500 0.500 0.500


Entry 10:
ZrPPtN2: optimized geometry, GGA-PBE.

Total energy ... -6.3712 eV per atom

Cell: 3.988 3.988 5.874 Å, 90.00 90.00 90.00°
Space group P4/mmm (No. 123)
Symmetry-distinct sites (fractional):
Zr1 0.000 0.000 0.000
P1 0.500 0.500 0.500
Pt1 0.000 0.000 0.500
N1 0.000 0.500 0.000


Entry 11:
Pu6PN5: optimized geometry, GGA-PBE.

Total energy ... -12.2458 eV per atom

Cell: 6.194 10.745 6.192 Å, 90.00 109.69 90.00°
Space group C2/m (No. 12)
Symmetry-distinct sites (fractional):
Pu1 0.232 0.180 0.244
Pu2 0.236 0.000 0.771
P1 0.000 0.500 0.500
N1 0.000 0.000 0.000
N2 0.000 0.169 0.500
N3 0.000 0.340 0.000


Entry 12:
Pu3PN5: optimized geometry, GGA-PBE.

Total energy ... -11.0710 eV per atom

Cell: 6.534 6.534 10.614 Å, 90.00 90.00 90.00°
Space group I4/mcm (No. 140)
Symmetry-distinct sites (fractional):
Pu1 0.000 0.000 0.250
Pu2 0.180 0.320 0.000
P1 0.000 0.500 0.250
N1 0.000 0.000 0.000
N2 0.139 0.361 0.348


Entry 13:
Pu3PN2: optimized geometry, GGA-PBE.

ΔE to the lowest computed polymorph ... 0.088 eV per atom
Total energy ... -11.8961 eV per atom

Cell: 3.714 4.782 12.169 Å, 90.00 90.00 90.00°
Space group Immm (No. 71)
Symmetry-distinct sites (fractional):
Pu1 0.000 0.000 0.000
Pu2 0.000 0.500 0.184
P1 0.000 0.000 0.500
N1 0.000 0.000 0.204


Entry 14:
Pu3PN6: optimized geometry, GGA-PBE.

Total energy ... -10.8371 eV per atom

Cell: 8.871 11.195 5.265 Å, 90.00 90.00 90.00°
Space group Cmc2_1 (No. 36)
Symmetry-distinct sites (fractional):
Pu1 0.000 0.106 0.000
Pu2 0.195 0.392 0.973
P1 0.000 0.308 0.422
N1 0.000 0.292 0.734
N2 0.000 0.446 0.309
N3 0.146 0.241 0.279
N4 0.157 0.012 0.731


Entry 15:
Pu3PN2: optimized geometry, GGA-PBE.

ΔE to the lowest computed polymorph ... 0.000 eV per atom
Total energy ... -11.9842 eV per atom

Cell: 3.813 12.264 9.133 Å, 90.00 90.00 90.00°
Space group Cmcm (No. 63)
Symmetry-distinct sites (fractional):
Pu1 0.000 0.070 0.250
Pu2 0.000 0.371 0.057
P1 0.000 0.249 0.750
N1 0.000 0.000 0.000
N2 0.000 0.476 0.250


Entry 16:
Pu2PN: optimized geometry, GGA-PBE.

ΔE to the lowest computed polymorph ... 0.189 eV per atom
Total energy ... -11.5419 eV per atom

Cell: 3.6240 3.6240 19.5540 Å, 90.00 90.00 120.00°
Space group R3m (No. 160, hexagonal axes)
Symmetry-distinct sites (fractional):
Pu1 0.0000 0.0000 0.0000
Pu2 0.0000 0.0000 0.1476
P1 0.0000 0.0000 0.5743
N1 0.0000 0.0000 0.3974


Entry 17:
Pu2PN: optimized geometry, GGA-PBE.

ΔE to the lowest computed polymorph ... 0.194 eV per atom
Total energy ... -11.5364 eV per atom

Cell: 3.545 12.924 6.149 Å, 90.00 90.00 90.00°
Space group Cmcm (No. 63)
Symmetry-distinct sites (fractional):
Pu1 0.000 0.137 0.017
P1 0.000 0.486 0.250
N1 0.000 0.263 0.750


Entry 18:
Pu2PN: optimized geometry, GGA-PBE.

ΔE to the lowest computed polymorph ... 0.086 eV per atom
Total energy ... -11.6454 eV per atom

Cell: 6.110 6.105 8.496 Å, 90.00 93.65 90.00°
Space group C2/m (No. 12)
Symmetry-distinct sites (fractional):
Pu1 0.000 0.227 0.000
Pu2 0.241 0.500 0.356
P1 0.224 0.000 0.300
N1 0.212 0.500 0.098


Entry 19:
PuPN3: optimized geometry, GGA-PBE.

Total energy ... -9.7075 eV per atom

Cell: 5.164 11.834 4.355 Å, 90.00 90.00 90.00°
Space group C222_1 (No. 20)
Symmetry-distinct sites (fractional):
Pu1 0.000 0.165 0.250
P1 0.000 0.420 0.250
N1 0.161 0.500 0.000
N2 0.218 0.334 0.382


Entry 20:
Pu2PN: optimized geometry, GGA-PBE.

ΔE to the lowest computed polymorph ... 0.000 eV per atom
Total energy ... -11.7309 eV per atom

Cell: 3.7001 3.7001 18.6306 Å, 90.00 90.00 120.00°
Space group R-3m (No. 166, hexagonal axes)
Symmetry-distinct sites (fractional):
Pu1 0.0000 0.0000 0.2376
P1 0.0000 0.0000 0.0000
N1 0.0000 0.0000 0.5000


Entry 21:
PuPN4: optimized geometry, GGA-PBE.

Total energy ... -8.9524 eV per atom

Cell: 4.923 4.923 10.793 Å, 90.00 90.00 90.00°
Space group I4_1/a (No. 88, origin choice 2)
Symmetry-distinct sites (fractional):
Pu1 0.000 0.250 0.125
P1 0.000 0.250 0.625
N1 0.149 0.499 0.704


Entry 22:
RbPu3P4N12: optimized geometry, GGA-PBE.

Total energy ... -8.6934 eV per atom

Cell: 10.8574 10.8574 9.0268 Å, 90.00 90.00 120.00°
Space group R32 (No. 155, hexagonal axes)
Symmetry-distinct sites (fractional):
Rb1 0.0000 0.0000 0.0000
Pu1 0.0000 0.5556 0.0000
P1 0.0000 0.0000 0.5000
P2 0.0000 0.4431 0.5000
N1 0.0000 0.5908 0.5000
N2 0.0000 0.8535 0.5000
N3 0.0300 0.2218 0.2078


Entry 23:
PuPRu2N: optimized geometry, GGA-PBE.

Total energy ... -10.0048 eV per atom

Cell: 3.681 11.386 6.974 Å, 90.00 90.00 90.00°
Space group Cmcm (No. 63)
Symmetry-distinct sites (fractional):
Pu1 0.000 0.038 0.250
P1 0.000 0.230 0.750
Ru1 0.000 0.332 0.052
N1 0.000 0.500 0.000